No. 1
Material: HoFePt6
Method: DFT, PBE
State: relaxed

a = 4.0256 Å, b = 4.0256 Å, c = 8.0114 Å
α = 90.00°, β = 90.00°, γ = 90.00°
Space group P4/mmm (No. 123)
Unique sites:
Ho 0.0000 0.0000 0.0000 [1 per cell]
Fe 0.0000 0.0000 0.5000 [1 per cell]
Pt 0.0000 0.5000 0.2663 [4 per cell]
Pt 0.5000 0.5000 0.0000 [1 per cell]
Pt 0.5000 0.5000 0.5000 [1 per cell]


No. 2
Material: Ti2GeRh
Method: DFT, PBE
State: relaxed

a = 3.8347 Å, b = 3.8347 Å, c = 18.1458 Å
α = 90.00°, β = 90.00°, γ = 90.00°
Space group I-42d (No. 122)
Unique sites:
Ti 0.2371 0.2500 0.1250 [8 per cell]
Ge 0.0000 0.0000 0.0000 [4 per cell]
Rh 0.0000 0.0000 0.5000 [4 per cell]


| no. | energy of formation from the pure elements (kcal/mol of atoms) |
| --- | --- |
| 1 | -14.21 |
| 2 | -1.89 |